[1]
A plane-wave DFT calculation with PBE was carried out for a relaxed La8Hg4PIr3 crystal.

The structure in POSCAR format:
```
La8Hg4PIr3
1.0
4.244 2.450 7.868
-4.244 2.450 7.868
0.000 -4.901 7.868
La Hg P Ir
8 4 1 3
direct
0.226 0.737 0.737
0.234 0.234 0.234
0.263 0.263 0.774
0.263 0.774 0.263
0.737 0.226 0.737
0.737 0.737 0.226
0.766 0.766 0.766
0.774 0.263 0.263
0.000 0.000 0.000
0.000 0.500 0.500
0.500 0.000 0.500
0.500 0.500 0.000
0.500 0.500 0.500
0.000 0.000 0.500
0.000 0.500 0.000
0.500 0.000 0.000
```

Output
energy = -5.244 eV/atom



[2]
A plane-wave DFT calculation with PBE was carried out for a relaxed MgMn2Ag crystal.

The structure in POSCAR format:
```
MgMn2Ag
1.0
2.931 0.000 0.000
0.000 2.931 0.000
0.000 0.000 7.919
Mg Mn Ag
1 2 1
direct
0.000 0.000 0.000
0.500 0.500 0.259
0.500 0.500 0.741
0.000 0.000 0.500
```

Output
energy = -5.358 eV/atom



[3]
A plane-wave DFT calculation with PBE was carried out for a relaxed Er3Tm3Mg2 crystal.

The structure in POSCAR format:
```
Er3Tm3Mg2
1.0
2.614 -5.743 0.000
2.614 5.743 0.000
0.000 0.000 15.550
Er Tm Mg
6 6 4
direct
0.030 0.970 0.750
0.146 0.854 0.033
0.146 0.854 0.467
0.854 0.146 0.533
0.854 0.146 0.967
0.970 0.030 0.250
0.252 0.748 0.250
0.452 0.548 0.100
0.452 0.548 0.400
0.548 0.452 0.600
0.548 0.452 0.900
0.748 0.252 0.750
0.279 0.721 0.646
0.279 0.721 0.854
0.721 0.279 0.146
0.721 0.279 0.354
```

Output
energy = -3.697 eV/atom



[4]
A plane-wave DFT calculation with PBE was carried out for a relaxed TcIrRu2 crystal.

The structure in POSCAR format:
```
TcIrRu2
1.0
4.508 -1.356 0.000
4.508 1.356 0.000
-0.810 0.000 4.649
Tc Ir Ru
1 1 2
direct
0.000 0.000 0.000
0.251 0.251 0.750
0.500 0.500 0.493
0.751 0.751 0.250
```

Output
offset from the most stable computed form = 0.120 eV per atom
energy = -9.461 eV/atom



Repeat the third record exactly.
A plane-wave DFT calculation with PBE was carried out for a relaxed Er3Tm3Mg2 crystal.

The structure in POSCAR format:
```
Er3Tm3Mg2
1.0
2.614 -5.743 0.000
2.614 5.743 0.000
0.000 0.000 15.550
Er Tm Mg
6 6 4
direct
0.030 0.970 0.750
0.146 0.854 0.033
0.146 0.854 0.467
0.854 0.146 0.533
0.854 0.146 0.967
0.970 0.030 0.250
0.252 0.748 0.250
0.452 0.548 0.100
0.452 0.548 0.400
0.548 0.452 0.600
0.548 0.452 0.900
0.748 0.252 0.750
0.279 0.721 0.646
0.279 0.721 0.854
0.721 0.279 0.146
0.721 0.279 0.354
```

Output
energy = -3.697 eV/atom